Ge2MoF8 | the Alexandria database | PBE with a Hubbard U | optimized geometry; density = 3.559 g cm⁻³; energy above the most stable polymorph in this dataset = 0.0000 eV/atom; DOS(E_F) = 0.0 states/eV/cell; SG = P-1 (2)
1.0
4.6831 0.7250 2.3466
1.6898 6.4619 2.5880
1.0648 0.5176 6.9510
F Mo Ge
8 1 2
direct
0.0354 0.0862 0.6627
0.0259 0.2898 0.9327
0.9741 0.7102 0.0673
0.4846 0.8750 0.8573
0.5154 0.1250 0.1427
0.3068 0.4349 0.3775
0.6932 0.5651 0.6225
0.9646 0.9138 0.3373
0.0000 0.0000 0.0000
0.9704 0.6557 0.6332
0.0296 0.3443 0.3668